# 1
LiMg2Re: optimized geometry, PBE.

Summary:
Crystal system: monoclinic
M_tot in μB per formula unit: 0.00
Offset from the most stable computed form in kJ/mol of formula units: 64
Volume in Å³ per cell: 68
Energy of formation from the pure elements in eV/atom: 0.347
VASP energy in eV per atom: -4.04

a = 4.8559 Å, b = 4.8559 Å, c = 5.4898 Å
α = 85.50°, β = 85.50°, γ = 31.95°
Fractional positions:
Mg1 0.4960 0.4960 0.5139
Mg2 0.0040 0.0040 0.9861
Re1 0.7500 0.7500 0.7500
Li1 0.2500 0.2500 0.2500

# 2
Nd2Pu2S7: optimized geometry, PBE.

Summary:
Crystal system: orthorhombic
M_tot in μB per formula unit: 8.03
E_form (uncorrected) in eV per atom: -1.6307
Volume in Å³ per cell: 245
VASP energy in eV per atom: -7.73

a = 3.9661 Å, b = 8.5497 Å, c = 8.5497 Å
α = 61.14°, β = 76.59°, γ = 76.59°
Each line ends with the local moment (μB).
Fractional positions:
S1 0.3855 0.7233 0.5056  -0.10
S2 0.8113 0.0824 0.2949  -0.23
S3 0.1887 0.7051 0.9176  -0.23
S4 0.5000 0.0118 0.9882  -0.14
S5 0.6145 0.4944 0.2767  -0.10
S6 0.1435 0.1309 0.5821  -0.15
S7 0.8565 0.4179 0.8691  -0.15
Nd1 0.0000 0.7863 0.2137  -0.01
Nd2 0.5000 0.3314 0.6686  0.00
Pu1 0.2568 0.3284 0.1581  4.68
Pu2 0.7432 0.8419 0.6716  4.68

# 3
CsGe2H2: optimized geometry, PBE.

Summary:
Crystal system: monoclinic
M_tot in μB per formula unit: 0.00
Volume in Å³ per cell: 111
VASP energy in eV per atom: -3.47

a = 4.9490 Å, b = 4.9489 Å, c = 11.1263 Å
α = 140.14°, β = 39.86°, γ = 129.39°
Fractional positions:
H1 0.5369 0.4632 0.7872
H2 0.4631 0.5368 0.2128
Ge1 0.1778 0.8222 0.4872
Ge2 0.8222 0.1778 0.5128
Cs1 0.0000 0.0000 0.0000

# 4
Tm4Ga12Ir: optimized geometry, PBE.

Summary:
Crystal system: cubic
M_tot in μB per formula unit: 0.00
Volume in Å³ per cell: 313
Energy of formation from the pure elements in eV/atom: -0.578
VASP energy in eV per atom: -4.29

a = 7.4104 Å, b = 7.4104 Å, c = 7.4104 Å
α = 109.47°, β = 109.47°, γ = 109.47°
Fractional positions:
Tm1 0.5000 0.5000 0.5000
Tm2 0.5000 0.0000 0.0000
Tm3 0.0000 0.5000 0.0000
Tm4 0.0000 0.0000 0.5000
Ga1 0.7500 0.2500 0.5000
Ga2 0.2934 0.2934 0.0000
Ga3 0.7066 0.0000 0.7066
Ga4 0.0000 0.2934 0.2934
Ga5 0.5000 0.2500 0.7500
Ga6 0.7500 0.5000 0.2500
Ga7 0.2934 0.0000 0.2934
Ga8 0.7066 0.7066 0.0000
Ga9 0.2500 0.7500 0.5000
Ga10 0.5000 0.7500 0.2500
Ga11 0.2500 0.5000 0.7500
Ga12 0.0000 0.7066 0.7066
Ir1 0.0000 0.0000 0.0000

# 5
PmRuRh2: optimized geometry, PBE.

Summary:
Crystal system: tetragonal
M_tot in μB per formula unit: 0.00
Offset from the most stable computed form in kJ/mol of formula units: 0
Volume in Å³ per cell: 69
Energy of formation from the pure elements in eV/atom: -0.128
VASP energy in eV per atom: -7.31

a = 4.0262 Å, b = 4.1380 Å, c = 4.1380 Å
α = 90.00°, β = 90.00°, γ = 90.00°
Fractional positions:
Pm1 0.5000 0.0000 0.0000
Rh1 0.0000 0.0000 0.5000
Rh2 0.0000 0.5000 0.0000
Ru1 0.5000 0.5000 0.5000

# 6
Y2ScRh: optimized geometry, PBE.

Summary:
Crystal system: tetragonal
M_tot in μB per formula unit: 0.00
Offset from the most stable computed form in kJ/mol of formula units: 73
Volume in Å³ per cell: 93
Energy of formation from the pure elements in eV/atom: -0.272
VASP energy in eV per atom: -6.92

a = 7.9924 Å, b = 4.9850 Å, c = 3.7604 Å
α = 90.00°, β = 61.93°, γ = 128.62°
Fractional positions:
Sc1 0.5000 0.5000 0.0000
Rh1 0.0000 0.5000 0.5000
Y1 0.5000 0.0000 0.5000
Y2 0.0000 0.0000 0.0000

# 7
LaCo2Ru: optimized geometry, PBE.

Summary:
Crystal system: orthorhombic
M_tot in μB per formula unit: 4.03
Volume in Å³ per cell: 69
Energy of formation from the pure elements in eV/atom: 0.402
VASP energy in eV per atom: -6.70

a = 5.3393 Å, b = 5.3393 Å, c = 5.3393 Å
α = 144.60°, β = 127.66°, γ = 64.78°
Each line ends with the local moment (μB).
Fractional positions:
Ru1 0.2500 0.7500 0.5000  0.77
Co1 0.0276 0.0276 0.0000  1.74
Co2 0.4724 0.4724 0.0000  1.74
La1 0.7500 0.2500 0.5000  -0.11

# 8
Zr6CoOs5: optimized geometry, PBE.

Summary:
Crystal system: orthorhombic
M_tot in μB per formula unit: 1.15
Volume in Å³ per cell: 211
Energy of formation from the pure elements in eV/atom: -0.488
VASP energy in eV per atom: -10.03

a = 4.6454 Å, b = 6.5342 Å, c = 7.3387 Å
α = 90.00°, β = 71.51°, γ = 90.00°
Each line ends with the local moment (μB).
Fractional positions:
Os1 0.6661 0.0000 0.6677  0.07
Os2 0.3339 0.0000 0.3323  0.07
Os3 0.6669 0.5000 0.6662  -0.02
Os4 0.3331 0.5000 0.3338  -0.02
Os5 0.0000 0.5000 0.0000  0.03
Co1 0.0000 0.0000 0.0000  1.22
Zr1 0.8344 0.7513 0.3312  -0.02
Zr2 0.1656 0.7513 0.6688  -0.02
Zr3 0.5000 0.2473 0.0000  -0.01
Zr4 0.8344 0.2487 0.3312  -0.02
Zr5 0.5000 0.7527 0.0000  -0.01
Zr6 0.1656 0.2487 0.6688  -0.02

# 9
ScPd7Au3: optimized geometry, PBE.

Summary:
Crystal system: trigonal
M_tot in μB per formula unit: 0.00
Volume in Å³ per cell: 190
Energy of formation from the pure elements in eV/atom: -0.270
VASP energy in eV per atom: -5.04

a = 6.9492 Å, b = 5.6260 Å, c = 5.6260 Å
α = 120.00°, β = 90.00°, γ = 90.00°
Fractional positions:
Pd1 0.1179 0.1646 0.8354
Pd2 0.1179 0.1646 0.3292
Pd3 0.4519 0.8349 0.6698
Pd4 0.1179 0.6708 0.8354
Pd5 0.1261 0.6667 0.3333
Pd6 0.4519 0.8349 0.1651
Pd7 0.4519 0.3302 0.1651
Sc1 0.4265 0.3333 0.6667
Au1 0.7844 0.4998 0.9996
Au2 0.7844 0.4998 0.5002
Au3 0.7844 0.0004 0.5002

# 10
Os2CCl: optimized geometry, PBE.

Summary:
Crystal system: tetragonal
M_tot in μB per formula unit: 0.00
Offset from the most stable computed form in kJ/mol of formula units: 0
E_form (uncorrected) in eV per atom: 1.0569
Volume in Å³ per cell: 124
VASP energy in eV per atom: -7.33

a = 4.8469 Å, b = 4.8469 Å, c = 6.2894 Å
α = 67.34°, β = 67.34°, γ = 90.00°
Fractional positions:
C1 0.5000 0.5000 0.0000
C2 0.2500 0.7500 0.5000
Os1 0.5410 0.1250 0.2500
Os2 0.2090 0.6250 0.2500
Os3 0.3750 0.4590 0.7500
Os4 0.8750 0.7910 0.7500
Cl1 0.0000 0.0000 0.0000
Cl2 0.7500 0.2500 0.5000

# 11
HfSnAu: optimized geometry, PBE.

Summary:
Crystal system: tetragonal
M_tot in μB per formula unit: 0.00
Volume in Å³ per cell: 128
Energy of formation from the pure elements in eV/atom: -0.239
VASP energy in eV per atom: -5.98

a = 4.3172 Å, b = 4.3172 Å, c = 6.8945 Å
α = 90.00°, β = 90.00°, γ = 89.99°
Fractional positions:
Au1 0.3365 0.3365 0.5000
Au2 0.8365 0.8365 0.5000
Hf1 0.8365 0.3365 0.7989
Hf2 0.3365 0.8365 0.2011
Sn1 0.3365 0.8365 0.7883
Sn2 0.8365 0.3365 0.2117

# 12
AcNdErMg: optimized geometry, PBE.

Summary:
Crystal system: cubic
M_tot in μB per formula unit: 0.00
Volume in Å³ per cell: 134
Energy of formation from the pure elements in eV/atom: 0.131
VASP energy in eV per atom: -3.63

a = 5.7388 Å, b = 5.7388 Å, c = 5.7388 Å
α = 60.00°, β = 60.00°, γ = 60.00°
Fractional positions:
Ac1 0.0000 0.0000 0.0000
Mg1 0.5000 0.5000 0.5000
Er1 0.2500 0.2500 0.2500
Nd1 0.7500 0.7500 0.7500

# 13
Pm3Cu2Ni: optimized geometry, PBE.

Summary:
Crystal system: tetragonal
M_tot in μB per formula unit: 0.00
Offset from the most stable computed form in kJ/mol of formula units: 12
Volume in Å³ per cell: 132
Energy of formation from the pure elements in eV/atom: -0.194
VASP energy in eV per atom: -4.90

a = 3.5196 Å, b = 3.5196 Å, c = 10.6949 Å
α = 90.00°, β = 90.00°, γ = 90.00°
Fractional positions:
Ni1 0.5000 0.5000 0.5000
Pm1 0.0000 0.0000 0.3412
Pm2 0.0000 0.0000 0.0000
Pm3 0.0000 0.0000 0.6588
Cu1 0.5000 0.5000 0.8318
Cu2 0.5000 0.5000 0.1682

# 14
ReSeBr2: optimized geometry, PBE.

Summary:
Crystal system: trigonal
M_tot in μB per formula unit: 0.00
Offset from the most stable computed form in kJ/mol of formula units: 224
E_form (uncorrected) in eV per atom: 0.6227
Volume in Å³ per cell: 95
VASP energy in eV per atom: -4.20

a = 12.4095 Å, b = 12.4095 Å, c = 12.4095 Å
α = 13.85°, β = 13.85°, γ = 13.85°
Fractional positions:
Br1 0.0648 0.0648 0.0648
Br2 0.9352 0.9352 0.9352
Se1 0.5000 0.5000 0.5000
Re1 0.0000 0.0000 0.0000

# 15
Y2HgPb: optimized geometry, PBE.

Summary:
Crystal system: orthorhombic
M_tot in μB per formula unit: 0.00
Volume in Å³ per cell: 119
Energy of formation from the pure elements in eV/atom: -0.337
VASP energy in eV per atom: -4.57

a = 3.6679 Å, b = 5.1472 Å, c = 6.2796 Å
α = 90.00°, β = 90.00°, γ = 90.00°
Fractional positions:
Hg1 0.0000 0.0000 0.3745
Pb1 0.5000 0.5000 0.8756
Y1 0.5000 0.5000 0.3755
Y2 0.0000 0.0000 0.8744

# 16
MgCuO2: optimized geometry, PBE.

Summary:
Crystal system: tetragonal
M_tot in μB per formula unit: 1.00
E_form (uncorrected) in eV per atom: -1.4375
Volume in Å³ per cell: 96
VASP energy in eV per atom: -5.34

a = 4.5281 Å, b = 4.5281 Å, c = 5.6754 Å
α = 66.49°, β = 66.49°, γ = 90.00°
Each line ends with the local moment (μB).
Fractional positions:
Mg1 0.5000 0.5000 0.0000  0.00
Mg2 0.2500 0.7500 0.5000  0.00
O1 0.1245 0.6250 0.2500  0.19
O2 0.3750 0.3745 0.7500  0.16
O3 0.6255 0.1250 0.2500  0.16
O4 0.8750 0.8755 0.7500  0.18
Cu1 0.7500 0.2500 0.5000  0.60
Cu2 0.0000 0.0000 0.0000  0.60

# 17
ZrV2Sn2: optimized geometry, PBE.

Summary:
Crystal system: tetragonal
M_tot in μB per formula unit: 0.00
Offset from the most stable computed form in kJ/mol of formula units: 8
Volume in Å³ per cell: 190
Energy of formation from the pure elements in eV/atom: 0.046
VASP energy in eV per atom: -6.91

a = 7.7914 Å, b = 7.7914 Å, c = 3.1218 Å
α = 90.00°, β = 90.00°, γ = 90.00°
Fractional positions:
V1 0.1073 0.3927 0.0000
V2 0.8927 0.6073 0.0000
V3 0.6073 0.1073 0.0000
V4 0.3927 0.8927 0.0000
Zr1 0.0000 0.0000 0.0000
Zr2 0.5000 0.5000 0.0000
Sn1 0.8155 0.3155 0.5000
Sn2 0.6845 0.8155 0.5000
Sn3 0.3155 0.1845 0.5000
Sn4 0.1845 0.6845 0.5000

# 18
GaSe2Cl: optimized geometry, PBE.

Summary:
Crystal system: trigonal
M_tot in μB per formula unit: 0.00
Offset from the most stable computed form in kJ/mol of formula units: 0
E_form (uncorrected) in eV per atom: -0.2683
Volume in Å³ per cell: 102
VASP energy in eV per atom: -3.23

a = 8.0044 Å, b = 8.0044 Å, c = 8.0044 Å
α = 28.35°, β = 28.35°, γ = 28.35°
Fractional positions:
Se1 0.1079 0.1079 0.1079
Se2 0.8921 0.8921 0.8921
Ga1 0.5000 0.5000 0.5000
Cl1 0.0000 0.0000 0.0000

# 19
Na2LiPbF: optimized geometry, PBE.

Summary:
Crystal system: tetragonal
M_tot in μB per formula unit: 0.00
E_form (uncorrected) in eV per atom: -1.1124
Volume in Å³ per cell: 105
VASP energy in eV per atom: -3.14

a = 5.1558 Å, b = 5.1558 Å, c = 3.9406 Å
α = 90.00°, β = 90.00°, γ = 90.00°
Fractional positions:
Na1 0.0000 0.5000 0.0000
Na2 0.5000 0.0000 0.0000
Pb1 0.5000 0.5000 0.5000
F1 0.0000 0.0000 0.0000
Li1 0.0000 0.0000 0.5000

# 20
AlAgBr2: optimized geometry, PBE.

Summary:
Crystal system: trigonal
M_tot in μB per formula unit: 0.00
Offset from the most stable computed form in kJ/mol of formula units: 42
E_form (uncorrected) in eV per atom: -0.3732
Volume in Å³ per cell: 102
VASP energy in eV per atom: -2.86

a = 8.9824 Å, b = 8.9824 Å, c = 8.9824 Å
α = 23.62°, β = 23.62°, γ = 23.62°
Fractional positions:
Br1 0.0286 0.0286 0.0286
Br2 0.2217 0.2217 0.2217
Ag1 0.4889 0.4889 0.4889
Al1 0.7608 0.7608 0.7608